# BaLa2Pd2 GGA-PBE relaxed
# Offset from the most stable computed form   0.000 eV per atom
# M_tot   0.00 μB per formula unit
# Energy of formation   -525 meV/atom
# Fermi-level density of states   0.63 states/eV per atom
# DFT total energy   -4.9574 eV/atom
data_BaLa2Pd2
_chemical_formula_sum 'Ba2 La4 Pd4'
_cell_length_a 8.443
_cell_length_b 8.443
_cell_length_c 4.135
_cell_angle_alpha 90.00
_cell_angle_beta 90.00
_cell_angle_gamma 90.00
_space_group_name_H-M_alt 'P 1'
_space_group_IT_number 1
loop_
_space_group_symop_operation_xyz
'x,y,z'
loop_
_atom_site_label
_atom_site_type_symbol
_atom_site_fract_x
_atom_site_fract_y
_atom_site_fract_z
Pd1 Pd 0.376 0.876 0.000
Ba1 Ba 0.500 0.500 0.000
Pd2 Pd 0.876 0.624 0.000
La1 La 0.156 0.656 0.500
Pd3 Pd 0.624 0.124 0.000
La2 La 0.656 0.844 0.500
Pd4 Pd 0.124 0.376 0.000
La3 La 0.344 0.156 0.500
La4 La 0.844 0.344 0.500
Ba2 Ba 0.000 0.000 0.000

# Ba2MgSn4Pt3 GGA-PBE relaxed
# M_tot   0.00 μB per formula unit
# Energy of formation   -721 meV/atom
# Fermi-level density of states   0.46 states/eV per atom
# DFT total energy   -4.6783 eV/atom
data_Ba2MgSn4Pt3
_chemical_formula_sum 'Ba2 Mg1 Sn4 Pt3'
_cell_length_a 4.765
_cell_length_b 4.765
_cell_length_c 11.232
_cell_angle_alpha 90.00
_cell_angle_beta 90.00
_cell_angle_gamma 90.00
_space_group_name_H-M_alt 'P 1'
_space_group_IT_number 1
loop_
_space_group_symop_operation_xyz
'x,y,z'
loop_
_atom_site_label
_atom_site_type_symbol
_atom_site_fract_x
_atom_site_fract_y
_atom_site_fract_z
Sn1 Sn 0.000 0.000 0.000
Sn2 Sn 0.500 0.500 0.000
Pt1 Pt 0.000 0.000 0.500
Pt2 Pt 0.000 0.500 0.120
Sn3 Sn 0.000 0.500 0.362
Sn4 Sn 0.500 0.000 0.638
Ba1 Ba 0.000 0.500 0.751
Ba2 Ba 0.500 0.000 0.249
Pt3 Pt 0.500 0.000 0.880
Mg1 Mg 0.500 0.500 0.500

# Nd4GaSeS2 GGA-PBE relaxed
# M_tot   0.00 μB per formula unit
# E_form (uncorrected)   -1248 kJ/mol of formula units
# Fermi-level density of states   0.41 states/eV per atom
# DFT total energy   -5.8460 eV/atom
data_Nd4GaSeS2
_chemical_formula_sum 'Nd4 Ga1 Se1 S2'
_cell_length_a 4.118
_cell_length_b 7.256
_cell_length_c 7.301
_cell_angle_alpha 71.13
_cell_angle_beta 90.00
_cell_angle_gamma 90.00
_space_group_name_H-M_alt 'P 1'
_space_group_IT_number 1
loop_
_space_group_symop_operation_xyz
'x,y,z'
loop_
_atom_site_label
_atom_site_type_symbol
_atom_site_fract_x
_atom_site_fract_y
_atom_site_fract_z
Nd1 Nd 0.500 0.241 0.753
S1 S 0.500 0.000 0.500
Se1 Se 0.500 0.500 0.000
Ga1 Ga 0.000 0.500 0.500
Nd2 Nd 0.000 0.241 0.259
Nd3 Nd 0.500 0.759 0.247
S2 S 0.000 0.000 0.000
Nd4 Nd 0.000 0.759 0.741

# Dy7Er3Tm GGA-PBE relaxed
# Offset from the most stable computed form   0.130 eV per atom
# M_tot   0.36 μB per formula unit
# Energy of formation   275 meV/atom
# Fermi-level density of states   1.43 states/eV per atom
# DFT total energy   -4.3043 eV/atom
data_Dy7Er3Tm
_chemical_formula_sum 'Dy7 Er3 Tm1'
_cell_length_a 5.744
_cell_length_b 8.342
_cell_length_c 8.342
_cell_angle_alpha 83.13
_cell_angle_beta 110.17
_cell_angle_gamma 110.17
_space_group_name_H-M_alt 'P 1'
_space_group_IT_number 1
loop_
_space_group_symop_operation_xyz
'x,y,z'
loop_
_atom_site_label
_atom_site_type_symbol
_atom_site_fract_x
_atom_site_fract_y
_atom_site_fract_z
Tm1 Tm 0.500 0.500 0.500
Dy1 Dy 0.696 0.990 0.401
Er1 Er 0.000 0.207 0.793
Dy2 Dy 0.000 0.500 0.500
Dy3 Dy 0.304 0.010 0.599
Dy4 Dy 0.304 0.599 0.010
Dy5 Dy 0.209 0.208 0.208
Dy6 Dy 0.791 0.792 0.792
Er2 Er 0.500 0.000 0.000
Dy7 Dy 0.696 0.401 0.990
Er3 Er 0.000 0.793 0.207

# K2CaIn2 GGA-PBE relaxed
# Offset from the most stable computed form   0.000 eV per atom
# M_tot   0.00 μB per formula unit
# Energy of formation   -19 meV/atom
# Fermi-level density of states   1.02 states/eV per atom
# DFT total energy   -1.9539 eV/atom
data_K2CaIn2
_chemical_formula_sum 'K4 Ca2 In4'
_cell_length_a 8.321
_cell_length_b 8.321
_cell_length_c 6.019
_cell_angle_alpha 90.00
_cell_angle_beta 90.00
_cell_angle_gamma 90.00
_space_group_name_H-M_alt 'P 1'
_space_group_IT_number 1
loop_
_space_group_symop_operation_xyz
'x,y,z'
loop_
_atom_site_label
_atom_site_type_symbol
_atom_site_fract_x
_atom_site_fract_y
_atom_site_fract_z
K1 K 0.673 0.827 0.500
In1 In 0.123 0.377 0.000
In2 In 0.377 0.877 0.000
K2 K 0.327 0.173 0.500
K3 K 0.827 0.327 0.500
Ca1 Ca 0.500 0.500 0.000
In3 In 0.877 0.623 0.000
In4 In 0.623 0.123 0.000
Ca2 Ca 0.000 0.000 0.000
K4 K 0.173 0.673 0.500

# CaZnGaPt2 GGA-PBE relaxed
# M_tot   0.00 μB per formula unit
# Energy of formation   -775 meV/atom
# Fermi-level density of states   0.34 states/eV per atom
# DFT total energy   -4.4516 eV/atom
data_CaZnGaPt2
_chemical_formula_sum 'Ca1 Zn1 Ga1 Pt2'
_cell_length_a 4.078
_cell_length_b 4.078
_cell_length_c 6.468
_cell_angle_alpha 108.37
_cell_angle_beta 108.37
_cell_angle_gamma 90.00
_space_group_name_H-M_alt 'P 1'
_space_group_IT_number 1
loop_
_space_group_symop_operation_xyz
'x,y,z'
loop_
_atom_site_label
_atom_site_type_symbol
_atom_site_fract_x
_atom_site_fract_y
_atom_site_fract_z
Pt1 Pt 0.614 0.614 0.229
Zn1 Zn 0.250 0.750 0.500
Ca1 Ca 0.000 0.000 0.000
Ga1 Ga 0.750 0.250 0.500
Pt2 Pt 0.386 0.386 0.771

# CaY2HfN4 GGA-PBE relaxed
# M_tot   0.00 μB per formula unit
# E_form (uncorrected)   -1202 kJ/mol of formula units
# Fermi-level density of states   0.05 states/eV per atom
# DFT total energy   -8.8306 eV/atom
data_CaY2HfN4
_chemical_formula_sum 'Ca1 Y2 Hf1 N4'
_cell_length_a 3.400
_cell_length_b 5.918
_cell_length_c 5.855
_cell_angle_alpha 109.03
_cell_angle_beta 90.00
_cell_angle_gamma 90.00
_space_group_name_H-M_alt 'P 1'
_space_group_IT_number 1
loop_
_space_group_symop_operation_xyz
'x,y,z'
loop_
_atom_site_label
_atom_site_type_symbol
_atom_site_fract_x
_atom_site_fract_y
_atom_site_fract_z
N1 N 0.500 0.769 0.764
Ca1 Ca 0.500 0.500 0.000
N2 N 0.000 0.771 0.244
N3 N 0.000 0.229 0.756
Hf1 Hf 0.000 0.000 0.000
Y1 Y 0.000 0.500 0.500
N4 N 0.500 0.231 0.236
Y2 Y 0.500 0.000 0.500

# POsRuCl2 GGA-PBE relaxed
# Offset from the most stable computed form   0.188 eV per atom
# M_tot   3.84 μB per formula unit
# E_form (uncorrected)   635 kJ/mol of formula units
# Fermi-level density of states   0.85 states/eV per atom
# DFT total energy   -4.6051 eV/atom
data_POsRuCl2
_chemical_formula_sum 'P1 Os1 Ru1 Cl2'
_cell_length_a 4.774
_cell_length_b 4.774
_cell_length_c 4.575
_cell_angle_alpha 90.00
_cell_angle_beta 90.00
_cell_angle_gamma 90.00
_space_group_name_H-M_alt 'P 1'
_space_group_IT_number 1
loop_
_space_group_symop_operation_xyz
'x,y,z'
loop_
_atom_site_label
_atom_site_type_symbol
_atom_site_fract_x
_atom_site_fract_y
_atom_site_fract_z
P1 P 0.000 0.000 0.500
Cl1 Cl 0.000 0.500 0.000
Os1 Os 0.500 0.500 0.500
Cl2 Cl 0.500 0.000 0.000
Ru1 Ru 0.000 0.000 0.000

Please write out number 6 again, unchanged.
# CaZnGaPt2 GGA-PBE relaxed
# M_tot   0.00 μB per formula unit
# Energy of formation   -775 meV/atom
# Fermi-level density of states   0.34 states/eV per atom
# DFT total energy   -4.4516 eV/atom
data_CaZnGaPt2
_chemical_formula_sum 'Ca1 Zn1 Ga1 Pt2'
_cell_length_a 4.078
_cell_length_b 4.078
_cell_length_c 6.468
_cell_angle_alpha 108.37
_cell_angle_beta 108.37
_cell_angle_gamma 90.00
_space_group_name_H-M_alt 'P 1'
_space_group_IT_number 1
loop_
_space_group_symop_operation_xyz
'x,y,z'
loop_
_atom_site_label
_atom_site_type_symbol
_atom_site_fract_x
_atom_site_fract_y
_atom_site_fract_z
Pt1 Pt 0.614 0.614 0.229
Zn1 Zn 0.250 0.750 0.500
Ca1 Ca 0.000 0.000 0.000
Ga1 Ga 0.750 0.250 0.500
Pt2 Pt 0.386 0.386 0.771

Question: Which of these has the highest Fermi-level density of states?
Answer: Dy7Er3Tm

What did the second record say?
# Ba2MgSn4Pt3 GGA-PBE relaxed
# M_tot   0.00 μB per formula unit
# Energy of formation   -721 meV/atom
# Fermi-level density of states   0.46 states/eV per atom
# DFT total energy   -4.6783 eV/atom
data_Ba2MgSn4Pt3
_chemical_formula_sum 'Ba2 Mg1 Sn4 Pt3'
_cell_length_a 4.765
_cell_length_b 4.765
_cell_length_c 11.232
_cell_angle_alpha 90.00
_cell_angle_beta 90.00
_cell_angle_gamma 90.00
_space_group_name_H-M_alt 'P 1'
_space_group_IT_number 1
loop_
_space_group_symop_operation_xyz
'x,y,z'
loop_
_atom_site_label
_atom_site_type_symbol
_atom_site_fract_x
_atom_site_fract_y
_atom_site_fract_z
Sn1 Sn 0.000 0.000 0.000
Sn2 Sn 0.500 0.500 0.000
Pt1 Pt 0.000 0.000 0.500
Pt2 Pt 0.000 0.500 0.120
Sn3 Sn 0.000 0.500 0.362
Sn4 Sn 0.500 0.000 0.638
Ba1 Ba 0.000 0.500 0.751
Ba2 Ba 0.500 0.000 0.249
Pt3 Pt 0.500 0.000 0.880
Mg1 Mg 0.500 0.500 0.500

Question: Look up the M_tot of the first one.
Answer: 0.00 μB per formula unit